# 1
# AcLa2Ho8 (PBE, relaxed)
# DFT total energy (eV/atom): -4.436
# Energy of formation from the pure elements (eV/atom): 0.1626
data_AcLa2Ho8
_chemical_formula_sum 'Ac2 La4 Ho16'
_cell_length_a 9.219
_cell_length_b 16.326
_cell_length_c 5.967
_cell_angle_alpha 90.00
_cell_angle_beta 123.10
_cell_angle_gamma 90.00
_space_group_name_H-M_alt 'C 1 2/m 1'
_space_group_IT_number 12
loop_
_space_group_symop_operation_xyz
'x,y,z'
'-x,-y,-z'
'-x,y,-z'
'x,-y,z'
'x+1/2,y+1/2,z'
'-x+1/2,-y+1/2,-z'
'-x+1/2,y+1/2,-z'
'x+1/2,-y+1/2,z'
loop_
_atom_site_label
_atom_site_type_symbol
_atom_site_fract_x
_atom_site_fract_y
_atom_site_fract_z
_atom_site_occupancy
Ac1 Ac 0.000 0.000 0.000 1
La1 La 0.000 0.305 0.500 1
Ho1 Ho 0.000 0.213 0.000 1
Ho2 Ho 0.061 0.500 0.791 1
Ho3 Ho 0.214 0.117 0.679 1

# 2
# AcLaHo (PBE, relaxed)
# DFT total energy (eV/atom): -4.475
# Energy of formation from the pure elements (eV/atom): 0.0627
data_AcLaHo
_chemical_formula_sum 'Ac1 La1 Ho1'
_cell_length_a 5.8973
_cell_length_b 5.8973
_cell_length_c 3.7034
_cell_angle_alpha 90.00
_cell_angle_beta 90.00
_cell_angle_gamma 120.00
_space_group_name_H-M_alt 'P 3 m 1'
_space_group_IT_number 156
loop_
_space_group_symop_operation_xyz
'x,y,z'
'-y,x-y,z'
'-x+y,-x,z'
'-y,-x,z'
'-x+y,y,z'
'x,x-y,z'
loop_
_atom_site_label
_atom_site_type_symbol
_atom_site_fract_x
_atom_site_fract_y
_atom_site_fract_z
_atom_site_occupancy
Ac1 Ac 0.0000 0.0000 0.0000 1
La1 La 0.3333 0.6667 0.5007 1
Ho1 Ho 0.6667 0.3333 0.4985 1

# 3
# Ac12La5Ho2 (PBE, relaxed)
# DFT total energy (eV/atom): -4.195
# Energy of formation from the pure elements (eV/atom): 0.1786
data_Ac12La5Ho2
_chemical_formula_sum 'Ac24 La10 Ho4'
_cell_length_a 19.865
_cell_length_b 7.754
_cell_length_c 10.942
_cell_angle_alpha 90.00
_cell_angle_beta 107.95
_cell_angle_gamma 90.00
_space_group_name_H-M_alt 'C 1 2/m 1'
_space_group_IT_number 12
loop_
_space_group_symop_operation_xyz
'x,y,z'
'-x,-y,-z'
'-x,y,-z'
'x,-y,z'
'x+1/2,y+1/2,z'
'-x+1/2,-y+1/2,-z'
'-x+1/2,y+1/2,-z'
'x+1/2,-y+1/2,z'
loop_
_atom_site_label
_atom_site_type_symbol
_atom_site_fract_x
_atom_site_fract_y
_atom_site_fract_z
_atom_site_occupancy
Ac1 Ac 0.001 0.000 0.181 1
Ac2 Ac 0.031 0.500 0.731 1
Ac3 Ac 0.158 0.257 0.389 1
Ac4 Ac 0.164 0.251 0.036 1
La1 La 0.000 0.500 0.000 1
La2 La 0.167 0.000 0.718 1
La3 La 0.198 0.500 0.712 1
Ho1 Ho 0.000 0.200 0.500 1

# 4
# AcLa4Ho3 (PBE, relaxed)
# DFT total energy (eV/atom): -4.598
# Energy of formation from the pure elements (eV/atom): 0.0955
data_AcLa4Ho3
_chemical_formula_sum 'Ac2 La8 Ho6'
_cell_length_a 16.755
_cell_length_b 5.934
_cell_length_c 6.179
_cell_angle_alpha 90.00
_cell_angle_beta 110.66
_cell_angle_gamma 90.00
_space_group_name_H-M_alt 'C 1 2/m 1'
_space_group_IT_number 12
loop_
_space_group_symop_operation_xyz
'x,y,z'
'-x,-y,-z'
'-x,y,-z'
'x,-y,z'
'x+1/2,y+1/2,z'
'-x+1/2,-y+1/2,-z'
'-x+1/2,y+1/2,-z'
'x+1/2,-y+1/2,z'
loop_
_atom_site_label
_atom_site_type_symbol
_atom_site_fract_x
_atom_site_fract_y
_atom_site_fract_z
_atom_site_occupancy
Ac1 Ac 0.000 0.000 0.000 1
La1 La 0.138 0.000 0.591 1
La2 La 0.242 0.500 0.810 1
Ho1 Ho 0.000 0.500 0.500 1
Ho2 Ho 0.132 0.500 0.189 1

# 5
# Ac2La3Ho6 (PBE, relaxed)
# DFT total energy (eV/atom): -4.402
# Energy of formation from the pure elements (eV/atom): 0.1858
data_Ac2La3Ho6
_chemical_formula_sum 'Ac4 La6 Ho12'
_cell_length_a 6.289
_cell_length_b 10.901
_cell_length_c 12.009
_cell_angle_alpha 90.00
_cell_angle_beta 100.03
_cell_angle_gamma 90.00
_space_group_name_H-M_alt 'C 1 2/m 1'
_space_group_IT_number 12
loop_
_space_group_symop_operation_xyz
'x,y,z'
'-x,-y,-z'
'-x,y,-z'
'x,-y,z'
'x+1/2,y+1/2,z'
'-x+1/2,-y+1/2,-z'
'-x+1/2,y+1/2,-z'
'x+1/2,-y+1/2,z'
loop_
_atom_site_label
_atom_site_type_symbol
_atom_site_fract_x
_atom_site_fract_y
_atom_site_fract_z
_atom_site_occupancy
Ac1 Ac 0.000 0.167 0.000 1
La1 La 0.000 0.000 0.500 1
La2 La 0.000 0.335 0.500 1
Ho1 Ho 0.246 0.500 0.744 1
Ho2 Ho 0.248 0.166 0.744 1

# 6
# AcLaHo2 (PBE, relaxed)
# DFT total energy (eV/atom): -4.506
# Energy of formation from the pure elements (eV/atom): 0.0415
data_AcLaHo2
_chemical_formula_sum 'Ac3 La3 Ho6'
_cell_length_a 3.7322
_cell_length_b 3.7322
_cell_length_c 35.3223
_cell_angle_alpha 90.00
_cell_angle_beta 90.00
_cell_angle_gamma 120.00
_space_group_name_H-M_alt 'R -3 m'
_space_group_IT_number 166
_space_group_name_Hall '-R 3 2"'
loop_
_atom_site_label
_atom_site_type_symbol
_atom_site_fract_x
_atom_site_fract_y
_atom_site_fract_z
_atom_site_occupancy
Ac1 Ac 0.0000 0.0000 0.0000 1
La1 La 0.0000 0.0000 0.5000 1
Ho1 Ho 0.0000 0.0000 0.2486 1

# 7
# AcLaHoLu (PBE, relaxed)
# DFT total energy (eV/atom): -4.450
# Energy of formation from the pure elements (eV/atom): 0.0839
data_AcLaHoLu
_chemical_formula_sum 'Ac4 La4 Ho4 Lu4'
_cell_length_a 8.286
_cell_length_b 8.286
_cell_length_c 8.286
_cell_angle_alpha 90.00
_cell_angle_beta 90.00
_cell_angle_gamma 90.00
_space_group_name_H-M_alt 'F -4 3 m'
_space_group_IT_number 216
_space_group_name_Hall 'F -4 2 3'
loop_
_atom_site_label
_atom_site_type_symbol
_atom_site_fract_x
_atom_site_fract_y
_atom_site_fract_z
_atom_site_occupancy
Ac1 Ac 0.000 0.000 0.000 1
La1 La 0.000 0.000 0.500 1
Ho1 Ho 0.250 0.250 0.750 1
Lu1 Lu 0.250 0.250 0.250 1

# 8
# AcLaHoMg (PBE, relaxed)
# DFT total energy (eV/atom): -3.824
# Energy of formation from the pure elements (eV/atom): -0.0215
data_AcLaHoMg
_chemical_formula_sum 'Ac1 La1 Ho1 Mg1'
_cell_length_a 3.847
_cell_length_b 3.847
_cell_length_c 9.180
_cell_angle_alpha 90.00
_cell_angle_beta 90.00
_cell_angle_gamma 90.00
_space_group_name_H-M_alt 'P 4 m m'
_space_group_IT_number 99
loop_
_space_group_symop_operation_xyz
'x,y,z'
'-y,x,z'
'-x,-y,z'
'y,-x,z'
'-x,y,z'
'y,x,z'
'x,-y,z'
'-y,-x,z'
loop_
_atom_site_label
_atom_site_type_symbol
_atom_site_fract_x
_atom_site_fract_y
_atom_site_fract_z
_atom_site_occupancy
Ac1 Ac 0.000 0.000 0.000 1
La1 La 0.500 0.500 0.704 1
Ho1 Ho 0.500 0.500 0.277 1
Mg1 Mg 0.000 0.000 0.474 1

# 9
# AcLaHoMg (PBE, relaxed)
# DFT total energy (eV/atom): -3.688
# Energy of formation from the pure elements (eV/atom): 0.1142
data_AcLaHoMg
_chemical_formula_sum 'Ac4 La4 Ho4 Mg4'
_cell_length_a 8.186
_cell_length_b 8.186
_cell_length_c 8.186
_cell_angle_alpha 90.00
_cell_angle_beta 90.00
_cell_angle_gamma 90.00
_space_group_name_H-M_alt 'F -4 3 m'
_space_group_IT_number 216
_space_group_name_Hall 'F -4 2 3'
loop_
_atom_site_label
_atom_site_type_symbol
_atom_site_fract_x
_atom_site_fract_y
_atom_site_fract_z
_atom_site_occupancy
Ac1 Ac 0.000 0.000 0.000 1
La1 La 0.250 0.250 0.750 1
Ho1 Ho 0.250 0.250 0.250 1
Mg1 Mg 0.000 0.000 0.500 1

# 10
# AcLaNd2Ho5 (PBE, relaxed)
# DFT total energy (eV/atom): -4.373
# Energy of formation from the pure elements (eV/atom): 0.2335
data_AcLaNd2Ho5
_chemical_formula_sum 'Ac4 La4 Nd8 Ho20'
_cell_length_a 8.830
_cell_length_b 8.830
_cell_length_c 15.866
_cell_angle_alpha 90.00
_cell_angle_beta 90.00
_cell_angle_gamma 90.00
_space_group_name_H-M_alt 'I 4/m c m'
_space_group_IT_number 140
_space_group_name_Hall '-I 4 2c'
loop_
_atom_site_label
_atom_site_type_symbol
_atom_site_fract_x
_atom_site_fract_y
_atom_site_fract_z
_atom_site_occupancy
Ac1 Ac 0.000 0.000 0.250 1
La1 La 0.000 0.500 0.250 1
Nd1 Nd 0.118 0.382 0.000 1
Ho1 Ho 0.000 0.000 0.000 1
Ho2 Ho 0.206 0.294 0.368 1